DFT (PBE-GGA) results for a geometry-optimized KIn12 structure.

Computed properties:
As for the crystal system: cubic.

Lattice parameters (Å, degrees): 8.8293 8.8293 8.8293 60.00 60.00 60.00
Fractional positions:
K: 0.0000 0.0000 0.0000
In: 0.1603 0.5000 0.5000
In: 0.1603 0.5000 0.8397
In: 0.1603 0.8397 0.5000
In: 0.5000 0.1603 0.5000
In: 0.5000 0.1603 0.8397
In: 0.5000 0.5000 0.1603
In: 0.5000 0.5000 0.8397
In: 0.5000 0.8397 0.1603
In: 0.5000 0.8397 0.5000
In: 0.8397 0.1603 0.5000
In: 0.8397 0.5000 0.1603
In: 0.8397 0.5000 0.5000

=====

DFT (PBE-GGA) results for a geometry-optimized KIn3 structure.

Computed properties:
As for the crystal system: orthorhombic.

Lattice parameters (Å, degrees): 6.7208 10.6924 3.3663 90.00 90.00 90.00
Fractional positions:
K: 0.0000 0.0000 0.0000
K: 0.5000 0.5000 0.0000
In: 0.0000 0.5000 0.0000
In: 0.2500 0.2500 0.5000
In: 0.2500 0.7500 0.5000
In: 0.5000 0.0000 0.0000
In: 0.7500 0.2500 0.5000
In: 0.7500 0.7500 0.5000

=====

DFT (PBE-GGA) results for a geometry-optimized KIn3 structure.

Computed properties:
As for the crystal system: orthorhombic.

Lattice parameters (Å, degrees): 4.3527 5.5366 10.3613 90.00 90.00 90.00
Fractional positions:
K: 0.0000 0.0000 0.0000
K: 0.5000 0.5000 0.5000
In: 0.0000 0.0000 0.5000
In: 0.0000 0.5000 0.2277
In: 0.0000 0.5000 0.7723
In: 0.5000 0.0000 0.2723
In: 0.5000 0.0000 0.7277
In: 0.5000 0.5000 0.0000

=====

DFT (PBE-GGA) results for a geometry-optimized KIn3 structure.

Computed properties:
As for the crystal system: orthorhombic.

Lattice parameters (Å, degrees): 4.6881 6.6155 8.4500 90.00 90.00 90.00
Fractional positions:
K: 0.2500 0.2500 0.0735
K: 0.7500 0.7500 0.9265
In: 0.2500 0.5228 0.6196
In: 0.2500 0.7500 0.2620
In: 0.2500 0.9772 0.6196
In: 0.7500 0.0228 0.3804
In: 0.7500 0.2500 0.7380
In: 0.7500 0.4772 0.3804

=====

DFT (PBE-GGA) results for a geometry-optimized K5In structure.

Computed properties:
The polymorph energy (0 for the lowest one) is 22 meV per atom. As for the crystal system: hexagonal.

Lattice parameters (Å, degrees): 7.5691 7.5691 6.6597 90.00 90.00 120.00
Fractional positions:
K: 0.0000 0.7006 0.0000
K: 0.2994 0.2994 0.0000
K: 0.3333 0.6667 0.5000
K: 0.6667 0.3333 0.5000
K: 0.7006 0.0000 0.0000
In: 0.0000 0.0000 0.5000

=====

DFT (PBE-GGA) results for a geometry-optimized K2In structure.

Computed properties:
The polymorph energy (0 for the lowest one) is 87 meV per atom. As for the crystal system: tetragonal.

Lattice parameters (Å, degrees): 6.5169 6.5169 3.6845 90.00 90.00 90.00
Fractional positions:
K: 0.0000 0.5000 0.0000
K: 0.5000 0.0000 0.0000
In: 0.0000 0.0000 0.5000

=====

DFT (PBE-GGA) results for a geometry-optimized K2In3 structure.

Computed properties:
As for the crystal system: orthorhombic.

Lattice parameters (Å, degrees): 10.1920 6.5137 11.0468 65.10 35.43 79.47
Fractional positions:
K: 0.1189 0.8811 0.2931
K: 0.5431 0.9569 0.3689
K: 0.8811 0.1189 0.7069
K: 0.9569 0.5431 0.1311
In: 0.2469 0.2469 0.7531
In: 0.4516 0.5352 0.2969
In: 0.4969 0.4969 0.0031
In: 0.5336 0.9531 0.7148
In: 0.5352 0.4516 0.7164
In: 0.9531 0.5336 0.7984

=====

DFT (PBE-GGA) results for a geometry-optimized KIn structure.

Computed properties:
As for the crystal system: cubic.

Lattice parameters (Å, degrees): 4.2298 4.2298 4.2298 90.00 90.00 90.00
Fractional positions:
K: 0.0000 0.0000 0.0000
In: 0.5000 0.5000 0.5000

=====

DFT (PBE-GGA) results for a geometry-optimized KIn4 structure.

Computed properties:
The polymorph energy (0 for the lowest one) is 0 meV per atom. As for the crystal system: tetragonal.

Lattice parameters (Å, degrees): 4.9384 4.9384 12.8277 90.00 90.00 90.00
Fractional positions:
K: 0.0000 0.0000 0.0000
K: 0.5000 0.5000 0.5000
In: 0.0000 0.0000 0.3871
In: 0.0000 0.0000 0.6129
In: 0.0000 0.5000 0.2500
In: 0.0000 0.5000 0.7500
In: 0.5000 0.0000 0.2500
In: 0.5000 0.0000 0.7500
In: 0.5000 0.5000 0.1129
In: 0.5000 0.5000 0.8871

=====

DFT (PBE-GGA) results for a geometry-optimized K2In structure.

Computed properties:
The polymorph energy (0 for the lowest one) is 204 meV per atom. As for the crystal system: cubic.

Lattice parameters (Å, degrees): 8.7599 8.7599 8.7599 90.00 90.00 90.00
Fractional positions:
K: 0.1501 0.1501 0.1501
K: 0.1501 0.3499 0.6501
K: 0.3499 0.6501 0.1501
K: 0.3499 0.8499 0.6501
K: 0.6501 0.1501 0.3499
K: 0.6501 0.3499 0.8499
K: 0.8499 0.6501 0.3499
K: 0.8499 0.8499 0.8499
In: 0.0000 0.0000 0.5000
In: 0.0000 0.5000 0.0000
In: 0.5000 0.0000 0.0000
In: 0.5000 0.5000 0.5000

=====

DFT (PBE-GGA) results for a geometry-optimized KIn structure.

Computed properties:
As for the crystal system: hexagonal.

Lattice parameters (Å, degrees): 10.0224 10.0224 5.5406 90.00 90.00 120.00
Fractional positions:
K: 0.1752 0.3505 0.2500
K: 0.1752 0.8248 0.2500
K: 0.3505 0.1752 0.7500
K: 0.6495 0.8248 0.2500
K: 0.8248 0.1752 0.7500
K: 0.8248 0.6495 0.7500
In: 0.1246 0.5623 0.7500
In: 0.4377 0.5623 0.7500
In: 0.4377 0.8754 0.7500
In: 0.5623 0.1246 0.2500
In: 0.5623 0.4377 0.2500
In: 0.8754 0.4377 0.2500

=====

DFT (PBE-GGA) results for a geometry-optimized KIn structure.

Computed properties:
As for the crystal system: tetragonal.

Lattice parameters (Å, degrees): 12.9854 12.9854 5.0606 90.00 90.00 90.00
Fractional positions:
K: 0.0000 0.2576 0.0000
K: 0.0000 0.7424 0.0000
K: 0.2424 0.5000 0.5000
K: 0.2576 0.0000 0.0000
K: 0.5000 0.2424 0.5000
K: 0.5000 0.7576 0.5000
K: 0.7424 0.0000 0.0000
K: 0.7576 0.5000 0.5000
In: 0.2144 0.2144 0.5000
In: 0.2144 0.7856 0.5000
In: 0.2856 0.2856 0.0000
In: 0.2856 0.7144 0.0000
In: 0.7144 0.2856 0.0000
In: 0.7144 0.7144 0.0000
In: 0.7856 0.2144 0.5000
In: 0.7856 0.7856 0.5000

=====

DFT (PBE-GGA) results for a geometry-optimized KIn structure.

Computed properties:
As for the crystal system: cubic.

Lattice parameters (Å, degrees): 9.9634 9.9634 9.9634 90.00 90.00 90.00
Fractional positions:
K: 0.0000 0.2500 0.5000
K: 0.0000 0.7500 0.5000
K: 0.2500 0.5000 0.0000
K: 0.5000 0.0000 0.2500
K: 0.5000 0.0000 0.7500
K: 0.7500 0.5000 0.0000
In: 0.0000 0.5000 0.2500
In: 0.0000 0.5000 0.7500
In: 0.2500 0.0000 0.5000
In: 0.5000 0.2500 0.0000
In: 0.5000 0.7500 0.0000
In: 0.7500 0.0000 0.5000

=====

DFT (PBE-GGA) results for a geometry-optimized KIn3 structure.

Computed properties:
As for the crystal system: orthorhombic.

Lattice parameters (Å, degrees): 5.2482 12.1841 7.7162 90.00 90.00 90.00
Fractional positions:
K: 0.0000 0.0814 0.2500
K: 0.0000 0.9186 0.7500
K: 0.5000 0.4186 0.7500
K: 0.5000 0.5814 0.2500
In: 0.0000 0.2105 0.7500
In: 0.0000 0.3750 0.0527
In: 0.0000 0.3750 0.4473
In: 0.0000 0.6250 0.5527
In: 0.0000 0.6250 0.9473
In: 0.0000 0.7895 0.2500
In: 0.5000 0.1250 0.5527
In: 0.5000 0.1250 0.9473
In: 0.5000 0.2895 0.2500
In: 0.5000 0.7105 0.7500
In: 0.5000 0.8750 0.0527
In: 0.5000 0.8750 0.4473

=====

DFT (PBE-GGA) results for a geometry-optimized KIn2 structure.

Computed properties:
As for the crystal system: tetragonal.

Lattice parameters (Å, degrees): 3.4528 3.4528 15.7224 90.00 90.00 90.00
Fractional positions:
K: 0.0000 0.0000 0.0000
K: 0.5000 0.5000 0.5000
In: 0.0000 0.0000 0.3214
In: 0.0000 0.0000 0.6786
In: 0.5000 0.5000 0.1786
In: 0.5000 0.5000 0.8214

=====

DFT (PBE-GGA) results for a geometry-optimized KIn11 structure.

Computed properties:
As for the crystal system: tetragonal.

Lattice parameters (Å, degrees): 10.1012 10.1012 10.1012 100.19 100.19 130.25
Fractional positions:
K: 0.3750 0.6250 0.7500
K: 0.6250 0.3750 0.2500
In: 0.0000 0.0000 0.0000
In: 0.0000 0.0000 0.5000
In: 0.0000 0.5000 0.0000
In: 0.1235 0.5491 0.3303
In: 0.1235 0.7932 0.5744
In: 0.1250 0.8750 0.2500
In: 0.2068 0.2812 0.3303
In: 0.2068 0.8765 0.9256
In: 0.2812 0.2068 0.8303
In: 0.2812 0.4509 0.0744
In: 0.4509 0.2812 0.5744
In: 0.4509 0.8765 0.1697
In: 0.5000 0.0000 0.5000
In: 0.5491 0.1235 0.8303
In: 0.5491 0.7188 0.4256
In: 0.7188 0.5491 0.9256
In: 0.7188 0.7932 0.1697
In: 0.7932 0.1235 0.0744
In: 0.7932 0.7188 0.6697
In: 0.8750 0.1250 0.7500
In: 0.8765 0.2068 0.4256
In: 0.8765 0.4509 0.6697

=====

DFT (PBE-GGA) results for a geometry-optimized KIn3 structure.

Computed properties:
As for the crystal system: cubic.

Lattice parameters (Å, degrees): 7.7911 7.7911 7.7911 90.00 90.00 90.00
Fractional positions:
K: 0.0000 0.0000 0.0000
K: 0.0000 0.5000 0.5000
K: 0.5000 0.0000 0.5000
K: 0.5000 0.5000 0.0000
In: 0.0000 0.0000 0.5000
In: 0.0000 0.5000 0.0000
In: 0.2500 0.2500 0.2500
In: 0.2500 0.2500 0.7500
In: 0.2500 0.7500 0.2500
In: 0.2500 0.7500 0.7500
In: 0.5000 0.0000 0.0000
In: 0.5000 0.5000 0.5000
In: 0.7500 0.2500 0.2500
In: 0.7500 0.2500 0.7500
In: 0.7500 0.7500 0.2500
In: 0.7500 0.7500 0.7500

=====

DFT (PBE-GGA) results for a geometry-optimized K2In17 structure.

Computed properties:
As for the crystal system: trigonal.

Lattice parameters (Å, degrees): 8.3446 8.3446 8.3446 81.84 81.84 81.84
Fractional positions:
K: 0.1614 0.1614 0.1614
K: 0.8386 0.8386 0.8386
In: 0.0000 0.5000 0.5000
In: 0.1412 0.1412 0.6499
In: 0.1412 0.6499 0.1412
In: 0.2063 0.5000 0.7937
In: 0.2063 0.7937 0.5000
In: 0.3501 0.8588 0.8588
In: 0.4010 0.4010 0.4010
In: 0.5000 0.0000 0.5000
In: 0.5000 0.2063 0.7937
In: 0.5000 0.5000 0.0000
In: 0.5000 0.7937 0.2063
In: 0.5990 0.5990 0.5990
In: 0.6499 0.1412 0.1412
In: 0.7937 0.2063 0.5000
In: 0.7937 0.5000 0.2063
In: 0.8588 0.3501 0.8588
In: 0.8588 0.8588 0.3501

=====

DFT (PBE-GGA) results for a geometry-optimized KIn structure.

Computed properties:
As for the crystal system: orthorhombic.

Lattice parameters (Å, degrees): 9.0510 5.9848 11.3908 90.00 90.00 90.00
Fractional positions:
K: 0.1251 0.2500 0.2251
K: 0.1880 0.7500 0.0110
K: 0.3120 0.2500 0.5110
K: 0.3749 0.7500 0.7251
K: 0.6251 0.2500 0.2749
K: 0.6881 0.7500 0.4890
K: 0.8119 0.2500 0.9890
K: 0.8749 0.7500 0.7749
In: 0.0654 0.7500 0.4248
In: 0.1336 0.2500 0.7987
In: 0.3664 0.7500 0.2987
In: 0.4346 0.2500 0.9248
In: 0.5654 0.7500 0.0752
In: 0.6336 0.2500 0.7013
In: 0.8664 0.7500 0.2013
In: 0.9346 0.2500 0.5752

=====

DFT (PBE-GGA) results for a geometry-optimized KIn6 structure.

Computed properties:
The polymorph energy (0 for the lowest one) is 163 meV per atom. As for the crystal system: cubic.

Lattice parameters (Å, degrees): 8.2045 8.2045 8.2045 90.00 90.00 90.00
Fractional positions:
K: 0.0000 0.0000 0.0000
K: 0.5000 0.5000 0.5000
In: 0.0000 0.2500 0.5000
In: 0.0000 0.5000 0.2500
In: 0.0000 0.5000 0.7500
In: 0.0000 0.7500 0.5000
In: 0.2500 0.0000 0.5000
In: 0.2500 0.5000 0.0000
In: 0.5000 0.0000 0.2500
In: 0.5000 0.0000 0.7500
In: 0.5000 0.2500 0.0000
In: 0.5000 0.7500 0.0000
In: 0.7500 0.0000 0.5000
In: 0.7500 0.5000 0.0000

=====

Calculated values (eV per atom) of formation energy from the elements for the records, taken in order: 0.1129; 0.0337; 0.0174; -0.1040; 0.0464; 0.0517; -0.0865; 0.0963; -0.1305; 0.1680; -0.0572; -0.0183; 0.6379; -0.1240; -0.0588; -0.0211; -0.0177; -0.0283; -0.0203; 0.1130.